MgFeI2N: relaxed, PBE-GGA.

Results
Crystal system ... tetragonal
Energy above the lowest structure with this stoichiometry ... 726 meV/atom
Energy relative to the elements, uncorrected ... 0.90 eV per atom
SG ... P4/mmm (123)

a = 5.7136 Å, b = 5.7136 Å, c = 3.9172 Å
α = 90.00°, β = 90.00°, γ = 90.00°
Site moments in Bohr magnetons follow the coordinates.
Positions (direct):
N (0.0000, 0.0000, 0.5000)  -0.01
I (0.5000, 0.0000, 0.0000)  0.02
I (0.0000, 0.5000, 0.0000)  0.02
Mg (0.0000, 0.0000, 0.0000)  0.00
Fe (0.5000, 0.5000, 0.5000)  3.27